A geometry-optimized Hf7SiO16 structure. Source: OQMD, functional PBE-GGA.

a b c (Å): 6.863 7.518 10.160
angles (deg): 89.39 89.84 87.05
Atoms (fractional coordinates):
Hf: 0.632 0.100 0.103
Hf: 0.133 0.113 0.136
Hf: 0.132 0.604 0.154
Hf: 0.887 0.884 0.375
Hf: 0.381 0.330 0.376
Hf: 0.379 0.828 0.402
Hf: 0.885 0.383 0.403
Hf: 0.133 0.107 0.624
Hf: 0.133 0.601 0.642
Hf: 0.633 0.608 0.674
Hf: 0.885 0.891 0.863
Hf: 0.383 0.317 0.864
Hf: 0.381 0.818 0.914
Hf: 0.882 0.391 0.914
O: 0.661 0.880 0.002
O: 0.605 0.324 0.002
O: 0.102 0.805 0.009
O: 0.162 0.395 0.013
O: 0.830 0.568 0.074
O: 0.434 0.638 0.075
O: 0.412 0.146 0.228
O: 0.853 0.075 0.229
O: 0.165 0.890 0.258
O: 0.101 0.328 0.259
O: 0.618 0.794 0.266
O: 0.644 0.427 0.271
O: 0.940 0.631 0.309
O: 0.320 0.585 0.312
O: 0.945 0.128 0.467
O: 0.325 0.082 0.468
O: 0.621 0.286 0.508
O: 0.647 0.919 0.510
O: 0.101 0.823 0.519
O: 0.165 0.385 0.520
O: 0.412 0.639 0.549
O: 0.854 0.567 0.550
O: 0.831 0.071 0.702
O: 0.435 0.141 0.703
O: 0.104 0.312 0.766
O: 0.163 0.902 0.767
O: 0.604 0.828 0.775
O: 0.661 0.384 0.776
O: 0.920 0.630 0.797
O: 0.345 0.580 0.798
O: 0.921 0.128 0.980
O: 0.345 0.078 0.981
Si: 0.633 0.608 0.171
Si: 0.633 0.103 0.607

## Properties
Excess energy over the best structure of this formula in the dataset: 0.003 eV per atom
Total moment: 0.0 μB per formula unit